A geometry-optimized LiCrSeO4 structure. Source: Alexandria via LeMat-Bulk, functional PBE with a Hubbard U.

## Properties
VASP energy = -6.09 eV/atom
Total magnetic moment = 0.428 μB/atom
Theoretical density = 4.3 g cm⁻³

Cell: 5.9540 5.9540 5.9540 Å, 119.86 111.47 97.82°
Positions (direct):
Li (0.0000, 0.0000, 0.0000)
Li (0.5000, 0.0000, 0.5000)
Cr (0.5000, 0.0000, 0.0000)
Cr (0.5000, 0.5000, 0.5000)
Se (0.1002, 0.3502, 0.7500)
Se (0.8998, 0.6498, 0.2500)
O (0.2338, 0.2512, 0.5174)
O (0.2338, 0.7164, 0.9826)
O (0.2967, 0.2442, 0.0525)
O (0.3083, 0.7558, 0.5525)
O (0.6917, 0.2442, 0.4475)
O (0.7033, 0.7558, 0.9475)
O (0.7662, 0.2836, 0.0174)
O (0.7662, 0.7488, 0.4826)